Entry 1:
The following is a DFT calculation (GGA-PBEsol) of crystalline MnSeOF2 at its relaxed geometry.

Summary:
As for the energy: -27.55 eV/cell. Its volume is 61 Å³/cell. The calculation puts the density of states at the Fermi level at 2.8 states/eV/cell.

a = 3.926 Å, b = 3.926 Å, c = 3.983 Å
α = 90.00°, β = 90.00°, γ = 90.00°
Space group P4/mmm (No. 123)
Asymmetric unit:
Mn 0.000 0.000 0.000 [1 per cell]
Se 0.500 0.500 0.500 [1 per cell]
O 0.000 0.000 0.500 [1 per cell]
F 0.000 0.500 0.000 [2 per cell]

***

Entry 2:
The following is a DFT calculation (GGA-PBEsol) of crystalline In2PbOF at its relaxed geometry.

Summary:
As for the energy: -19.64 eV/cell. Its volume is 104 Å³/cell. The calculation puts the density of states at the Fermi level at 3.0 states/eV/cell.

a = 4.375 Å, b = 4.375 Å, c = 5.435 Å
α = 90.00°, β = 90.00°, γ = 90.00°
Space group P4/mmm (No. 123)
Asymmetric unit:
In 0.000 0.500 0.000 [2 per cell]
Pb 0.000 0.000 0.500 [1 per cell]
O 0.500 0.500 0.000 [1 per cell]
F 0.500 0.500 0.500 [1 per cell]